(1)
The following is a DFT calculation (PBE-GGA) of a geometry-optimized HfRh3F structure.

```
HfRh3F
1.0
4.2688 0.0000 0.0000
0.0000 4.2688 0.0000
0.0000 0.0000 4.2688
Hf Rh F
1 3 1
Direct
0.0000 0.0000 0.0000 Hf
0.0000 0.5000 0.5000 Rh
0.5000 0.0000 0.5000 Rh
0.5000 0.5000 0.0000 Rh
0.5000 0.5000 0.5000 F
```

## Properties
Total magnetization ... 1.474 μB per cell
Final energy ... -33.6 eV per formula unit
ΔE_f (raw) ... 0.0522 eV/atom

***

(2)
The following is a DFT calculation (PBE-GGA) of a geometry-optimized Hf2RhF structure.

```
Hf2RhF
1.0
-2.5797 2.5797 5.9860
2.5797 -2.5797 5.9860
2.5797 2.5797 -5.9860
Hf Rh F
4 2 2
Direct
0.0741 0.6250 0.9491 Hf
0.3750 0.3241 0.4491 Hf
0.6759 0.1250 0.0509 Hf
0.8750 0.9259 0.5509 Hf
0.2500 0.7500 0.5000 Rh
0.5000 0.5000 0.0000 Rh
0.0000 0.0000 0.0000 F
0.7500 0.2500 0.5000 F
```

## Properties
Total magnetization ... 0.000 μB per cell
Final energy ... -32.3 eV per formula unit
Offset from the most stable computed form ... 151.2 meV per atom
ΔE_f (raw) ... -0.7924 eV/atom

***

(3)
The following is a DFT calculation (PBE-GGA) of a geometry-optimized Hf2RhF structure.

```
Hf2RhF
1.0
0.0000 3.2253 3.2253
3.2253 0.0000 3.2253
3.2253 3.2253 0.0000
Hf Rh F
2 1 1
Direct
0.2500 0.2500 0.2500 Hf
0.7500 0.7500 0.7500 Hf
0.0000 0.0000 0.0000 Rh
0.5000 0.5000 0.5000 F
```

## Properties
Total magnetization ... 0.000 μB per cell
Final energy ... -32.9 eV per formula unit
Offset from the most stable computed form ... 0.0 meV per atom
ΔE_f (raw) ... -0.9436 eV/atom

***

(4)
The following is a DFT calculation (PBE-GGA) of a geometry-optimized HfRhF3 structure.

```
HfRhF3
1.0
4.2478 0.0000 0.0000
0.0000 4.2478 0.0000
0.0000 0.0000 4.2478
Hf Rh F
1 1 3
Direct
0.0000 0.0000 0.0000 Hf
0.5000 0.5000 0.5000 Rh
0.0000 0.5000 0.5000 F
0.5000 0.0000 0.5000 F
0.5000 0.5000 0.0000 F
```

## Properties
Total magnetization ... 0.000 μB per cell
Final energy ... -25.5 eV per formula unit
Offset from the most stable computed form ... 1243.1 meV per atom
ΔE_f (raw) ... -0.5189 eV/atom